[1]
A geometry-optimized Li2Pt2Pb structure, computed with PBE.

a = 7.458 Å, b = 7.458 Å, c = 2.987 Å
α = 90.00°, β = 90.00°, γ = 90.00°
Fractional coordinates of all 10 atoms:
1 Li 0.156 0.344 0.000
2 Li 0.344 0.844 0.000
3 Li 0.656 0.156 0.000
4 Li 0.844 0.656 0.000
5 Pt 0.137 0.637 0.500
6 Pt 0.363 0.137 0.500
7 Pt 0.637 0.863 0.500
8 Pt 0.863 0.363 0.500
9 Pb 0.000 0.000 0.500
10 Pb 0.500 0.500 0.500

---

[2]
A geometry-optimized Li8Pt2Pb structure, computed with PBE.

a = 6.824 Å, b = 6.824 Å, c = 4.266 Å
α = 90.00°, β = 90.00°, γ = 107.86°
Fractional coordinates of all 11 atoms:
1 Li 0.153 0.153 0.000
2 Li 0.183 0.466 0.500
3 Li 0.242 0.758 0.000
4 Li 0.466 0.183 0.500
5 Li 0.534 0.817 0.500
6 Li 0.758 0.242 0.000
7 Li 0.817 0.534 0.500
8 Li 0.847 0.847 0.000
9 Pt 0.120 0.880 0.500
10 Pt 0.880 0.120 0.500
11 Pb 0.500 0.500 0.000

---

[3]
A geometry-optimized LiPt3Pb structure, computed with PBE.

a = 4.422 Å, b = 4.422 Å, c = 4.422 Å
α = 90.00°, β = 90.00°, γ = 90.00°
Fractional coordinates of all 5 atoms:
1 Li 0.000 0.000 0.000
2 Pt 0.000 0.000 0.500
3 Pt 0.000 0.500 0.000
4 Pt 0.500 0.000 0.000
5 Pb 0.500 0.500 0.500

---

[4]
A geometry-optimized Li2PtPb structure, computed with PBE.

a = 4.116 Å, b = 4.116 Å, c = 4.038 Å
α = 90.00°, β = 90.00°, γ = 90.00°
Fractional coordinates of all 4 atoms:
1 Li 0.000 0.500 0.000
2 Li 0.500 0.000 0.000
3 Pt 0.000 0.000 0.500
4 Pb 0.500 0.500 0.500

---

no.,total DFT energy (no corrections) (eV/atom),DFT formation energy (kJ per mole of atoms)
1,-4.30,-37
2,-3.18,-34
3,-4.50,24
4,-3.79,-39